# 1
Entry from Alexandria via LeMat-Bulk: Tc2PRu at its PBEsol-relaxed geometry (SCAN).

The value obtained for the total energy is -28.817 eV/atom. The density of states at the Fermi level is 3.6 states/eV per cell. As for the formation energy: 0.019 eV per atom. For the size of the total moment, the calculation gives 0.0000 μB/atom. The crystal system is orthorhombic.

It has space group Pmm2 (No. 25), with a = 2.798 Å, b = 3.762 Å, c = 5.093 Å, α = 90.00°, β = 90.00° and γ = 90.00°. The asymmetric unit holds Tc at (0.000, 0.000, 0.000), Tc at (0.500, 0.500, 0.204), P at (0.000, 0.000, 0.492) and Ru at (0.500, 0.500, 0.684).

# 2
Entry from Alexandria via LeMat-Bulk: Na2HI at its PBEsol-relaxed geometry (SCAN).

The value obtained for the total energy is -12.935 eV/atom. The density of states at the Fermi level is 0.0 states/eV per cell. For the size of the total moment, the calculation gives 0.0000 μB/atom. The crystal system is tetragonal.

It has space group I-42d (No. 122), with a = 6.925 Å, b = 6.925 Å, c = 8.117 Å, α = 90.00°, β = 90.00° and γ = 90.00°. The asymmetric unit holds Na at (0.142, 0.750, 0.125), H at (0.000, 0.000, 0.000) and I at (0.000, 0.000, 0.500).

# 3
Entry from Alexandria via LeMat-Bulk: NaTl2Pb2 at its PBEsol-relaxed geometry (SCAN).

The value obtained for the total energy is -60.137 eV/atom. The relative energy among the computed polymorphs comes out at 0 meV per atom. The density of states at the Fermi level is 5.0 states/eV per cell. As for the formation energy: -0.038 eV per atom. For the size of the total moment, the calculation gives 0.0000 μB/atom. The crystal system is tetragonal.

It has space group P4/mbm (No. 127), with a = 9.070 Å, b = 9.070 Å, c = 3.692 Å, α = 90.00°, β = 90.00° and γ = 90.00°. The asymmetric unit holds Na at (0.000, 0.000, 0.000), Tl at (0.164, 0.336, 0.500) and Pb at (0.132, 0.632, 0.000).

# 4
Entry from Alexandria via LeMat-Bulk: ZrZn2Hg at its PBEsol-relaxed geometry (SCAN).

The value obtained for the total energy is -31.742 eV/atom. The density of states at the Fermi level is 2.2 states/eV per cell. As for the formation energy: -0.268 eV per atom. For the size of the total moment, the calculation gives 0.0000 μB/atom. The crystal system is tetragonal.

It has space group P4/mmm (No. 123), with a = 4.240 Å, b = 4.240 Å, c = 3.902 Å, α = 90.00°, β = 90.00° and γ = 90.00°. The asymmetric unit holds Zr at (0.000, 0.000, 0.000), Zn at (0.000, 0.500, 0.500) and Hg at (0.500, 0.500, 0.000).